Computed, not measured: an optimized crystal structure of TlCuBi at the PBE level of DFT.

POSCAR file:
```
TlCuBi
1.0
3.595 0.000 0.000
0.000 3.595 0.000
0.000 0.000 11.853
Tl Bi Cu
2 2 2
Cartesian
0.000 1.797 10.611 Tl
1.797 0.000 1.242 Tl
0.000 1.797 3.725 Bi
1.797 0.000 8.128 Bi
0.000 0.000 5.927 Cu
1.797 1.797 5.927 Cu
```

Summary:
Energy above the lowest structure with this stoichiometry in meV/atom: 0
Symmetry: P4/nmm, No. 129

***

Computed, not measured: an optimized crystal structure of Ti4NbRe5 at the PBE level of DFT.

POSCAR file:
```
Ti4NbRe5
1.0
3.140 0.000 0.000
0.000 3.140 0.000
0.000 0.000 15.622
Ti Nb Re
4 1 5
Cartesian
0.000 0.000 3.179 Ti
0.000 0.000 6.265 Ti
0.000 0.000 9.357 Ti
0.000 0.000 12.443 Ti
0.000 0.000 0.000 Nb
1.570 1.570 1.612 Re
1.570 1.570 4.715 Re
1.570 1.570 7.811 Re
1.570 1.570 10.906 Re
1.570 1.570 14.010 Re
```

Summary:
Symmetry: P4/mmm, No. 123

***

For reference, electronic total energy by record: -20.226 -107.716 eV per cell.
For reference, density of states at the Fermi level by record: 1.2 7.4 states/eV/f.u..